Computed, not measured: an optimized crystal structure of Eu2InBr at the PBE-GGA level of DFT.

a b c (Å): 3.7351 3.7351 8.7402
angles (deg): 90.00 90.00 90.00
Last column: magnetic moment on the atom in μB.
Positions (direct):
Eu  0.0000  0.0000  0.7550  6.94
Eu  0.0000  0.0000  0.2450  6.94
Br  0.5000  0.5000  0.5000  -0.03
In  0.5000  0.5000  0.0000  -0.03

D(E_F) (states/eV/cell): 13.2
Uncorrected formation energy (eV per atom): -0.8944
Space-group type: P4/mmm (123)
Magnetic moment (μB/f.u.): 14.3
Electronic total energy (eV per cell): -28.5